Entry 1
VASP calculation (GGA-PBE) on a geometry-optimized Tb2DyY structure.

abc: 3.5576 3.5576 10.0715
angles: 90.00 90.00 90.00
Element x y z (fractional)
Tb1 0.0000 0.0000 0.2486
Tb2 0.0000 0.0000 0.7514
Dy1 0.5000 0.5000 0.0000
Y1 0.5000 0.5000 0.5000

Computed properties:
Calculated volume, Å³/f.u.: 127.5

=====

Entry 2
VASP calculation (GGA-PBE) on a geometry-optimized Tb2DyY structure.

abc: 3.6370 6.7317 6.7317
angles: 55.69 74.33 74.33
Element x y z (fractional)
Tb1 0.9989 0.0848 0.9170
Tb2 0.5011 0.5830 0.4152
Dy1 0.2500 0.1657 0.3343
Y1 0.7500 0.6666 0.8334

Computed properties:
Calculated volume, Å³/f.u.: 129.6

=====

entry 2 wins, 0.9 kJ/mol of atoms ahead of the next structure.

=====

Entry 1
VASP calculation (GGA-PBE) on a geometry-optimized Tb2DyY structure.

abc: 5.0314 5.0360 5.0360
angles: 90.00 90.00 90.00
Element x y z (fractional)
Y1 0.5000 0.0000 0.0000
Tb1 0.0000 0.5000 0.0000
Tb2 0.0000 0.0000 0.5000
Dy1 0.5000 0.5000 0.5000

Computed properties:
Calculated volume, Å³/f.u.: 127.6

=====

Entry 2
VASP calculation (GGA-PBE) on a geometry-optimized Tb2DyY structure.

abc: 5.6802 5.6802 5.6802
angles: 60.00 60.00 60.00
Element x y z (fractional)
Tb1 0.2500 0.2500 0.2500
Tb2 0.7500 0.7500 0.7500
Dy1 0.0000 0.0000 0.0000
Y1 0.5000 0.5000 0.5000

Computed properties:
Calculated volume, Å³/f.u.: 129.6

=====

Entry 3
VASP calculation (GGA-PBE) on a geometry-optimized Tb2DyY structure.

abc: 3.5860 3.5860 11.6743
angles: 81.17 81.17 60.00
Element x y z (fractional)
Dy1 0.6666 0.6666 0.0003
Tb1 0.2500 0.2500 0.2501
Tb2 0.0832 0.0832 0.7505
Y1 0.5003 0.5003 0.4991

Computed properties:
Calculated volume, Å³/f.u.: 128.0

=====

entry 3 wins, 1.2 kJ/mol of atoms ahead of the next structure.

=====

Entry 1
VASP calculation (GGA-PBE) on a geometry-optimized Tb7DyY2 structure.

abc: 6.1579 10.6742 11.2502
angles: 137.53 123.16 39.73
Element x y z (fractional)
Tb1 0.6998 0.7010 0.8011
Tb2 0.1000 0.0994 0.3995
Tb3 0.5000 0.5000 0.0000
Tb4 0.2022 0.2003 0.8009
Tb5 0.3002 0.2990 0.1989
Tb6 0.7978 0.7997 0.1991
Tb7 0.9000 0.9006 0.6005
Y1 0.4017 0.3993 0.5998
Y2 0.5983 0.6007 0.4002
Dy1 0.0000 0.0000 0.0000

Computed properties:
Calculated volume, Å³/f.u.: 318.8

=====

Entry 2
VASP calculation (GGA-PBE) on a geometry-optimized Tb7DyY2 structure.

abc: 5.1467 9.7979 9.7980
angles: 128.00 90.00 90.00
Element x y z (fractional)
Dy1 0.0000 0.0000 0.0000
Tb1 0.0000 0.8068 0.1932
Tb2 0.5000 0.2864 0.0745
Tb3 0.0000 0.1932 0.8068
Tb4 0.5000 0.7136 0.9255
Tb5 0.5000 0.9255 0.7136
Tb6 0.5000 0.5000 0.5000
Tb7 0.5000 0.0745 0.2864
Y1 0.5000 0.2961 0.7039
Y2 0.5000 0.7039 0.2961

Computed properties:
Calculated volume, Å³/f.u.: 389.4

=====

entry 1 wins, 65.1 kJ/mol of atoms ahead of the next structure.

=====

Entry 1
VASP calculation (GGA-PBE) on a geometry-optimized Tb2Dy3Y7 structure.

abc: 3.5824 5.8017 18.6876
angles: 93.51 90.00 90.00
Element x y z (fractional)
Y1 0.5000 0.7421 0.4629
Y2 0.5000 0.1858 0.1794
Y3 0.0000 0.0000 0.0000
Y4 0.5000 0.2579 0.5371
Y5 0.0000 0.6823 0.1435
Y6 0.0000 0.3177 0.8565
Y7 0.5000 0.8142 0.8206
Dy1 0.0000 0.7801 0.6326
Dy2 0.5000 0.5000 0.0000
Dy3 0.0000 0.2199 0.3674
Tb1 0.5000 0.7065 0.2946
Tb2 0.5000 0.2935 0.7054

Computed properties:
Calculated volume, Å³/f.u.: 387.7

=====

Entry 2
VASP calculation (GGA-PBE) on a geometry-optimized Tb2Dy3Y7 structure.

abc: 3.5186 6.3425 17.9467
angles: 75.49 90.00 90.00
Element x y z (fractional)
Dy1 0.0000 0.1098 0.3419
Dy2 0.5000 0.5000 0.0000
Dy3 0.0000 0.8902 0.6581
Y1 0.5000 0.2432 0.5017
Y2 0.5000 0.7568 0.4983
Y3 0.0000 0.4393 0.8344
Y4 0.5000 0.0584 0.1682
Y5 0.0000 0.5607 0.1656
Y6 0.0000 0.0000 0.0000
Y7 0.5000 0.9416 0.8318
Tb1 0.5000 0.6139 0.3270
Tb2 0.5000 0.3861 0.6730

Computed properties:
Calculated volume, Å³/f.u.: 387.7

=====

entry 2 wins, 0.9 kJ/mol of atoms ahead of the next structure.

=====

Entry 1
VASP calculation (GGA-PBE) on a geometry-optimized Tb2Dy2Y7 structure.

abc: 8.6828 6.5103 6.5103
angles: 93.08 82.16 82.16
Element x y z (fractional)
Y1 0.7912 0.9193 0.5522
Y2 0.2088 0.4478 0.0807
Y3 0.2088 0.0807 0.4478
Y4 0.4082 0.8484 0.8484
Y5 0.7912 0.5522 0.9193
Y6 0.5918 0.1516 0.1516
Y7 0.0000 0.0000 0.0000
Dy1 0.8557 0.3957 0.3957
Dy2 0.1443 0.6043 0.6043
Tb1 0.5000 0.3239 0.6761
Tb2 0.5000 0.6761 0.3239

Computed properties:
Calculated volume, Å³/f.u.: 360.2

=====

Entry 2
VASP calculation (GGA-PBE) on a geometry-optimized Tb2Dy2Y7 structure.

abc: 5.5284 8.1629 9.3587
angles: 115.86 107.18 90.00
Element x y z (fractional)
Y1 0.1377 0.4672 0.2755
Y2 0.8605 0.7746 0.7211
Y3 0.1395 0.0535 0.2789
Y4 0.6605 0.7838 0.3209
Y5 0.8623 0.1917 0.7245
Y6 0.5000 0.9206 0.0000
Y7 0.3395 0.4628 0.6791
Dy1 0.5000 0.3323 0.0000
Dy2 0.0000 0.6235 0.0000
Tb1 0.7008 0.3227 0.4015
Tb2 0.2992 0.9212 0.5985

Computed properties:
Calculated volume, Å³/f.u.: 359.0

=====

entry 1 wins, 0.9 kJ/mol of atoms ahead of the next structure.